Sm5HoGe4 after structural relaxation, computed with PBE.

Summary:
Calculated formation energy ... -627 meV per atom
Total energy ... -0.3889 Ry/atom
Density of states at the Fermi level ... 5.654 states/eV per cell

Structure (extended XYZ):
```
10
Lattice="5.035 0.000 0.000 0.000 6.462 -2.602 -2.518 -3.470 9.811" Properties=species:S:1:pos:R:3 pbc="T T T"
Sm 2.518 -1.254 6.150
Sm 2.518 3.231 -1.301
Sm 2.518 2.045 4.809
Sm 0.000 0.947 2.399
Sm 0.000 4.246 1.058
Ge 0.000 3.540 4.009
Ge 2.518 -0.548 3.199
Ge 0.000 1.633 -0.503
Ge 2.518 1.359 7.711
Ho 2.518 0.000 0.000
```

***

Zr12Tl3In after structural relaxation, computed with PBE.

Summary:
Calculated formation energy ... -145 meV per atom
Total energy ... -0.5271 Ry/atom
Density of states at the Fermi level ... 14.109 states/eV per cell

Structure (extended XYZ):
```
16
Lattice="4.488 0.000 0.000 0.000 4.488 0.000 0.000 0.000 17.896" Properties=species:S:1:pos:R:3 pbc="T T T"
Zr 2.244 2.244 8.948
Zr 2.244 2.244 0.000
Zr 0.000 2.244 15.677
Zr 2.244 0.000 2.219
Zr 2.244 2.244 13.428
Zr 2.244 0.000 11.189
Zr 0.000 2.244 2.219
Zr 2.244 0.000 6.707
Zr 2.244 2.244 4.468
Zr 0.000 2.244 11.189
Zr 2.244 0.000 15.677
Zr 0.000 2.244 6.707
Tl 0.000 0.000 13.429
Tl 0.000 0.000 4.466
Tl 0.000 0.000 8.948
In 0.000 0.000 0.000
```

***

> What is the calculated formation energy in the second record?

-145 meV per atom